TbSmHoHg | PBE-GGA | optimized geometry

Computed properties:
The crystal system is tetragonal. For the density, the calculation gives 9560 kg/m³. The space-group type is P4mm. The value obtained for the energy above the most stable polymorph in this dataset is 0.000 eV per atom. As for the calculated total energy: -3.787 eV per atom. As for the formation enthalpy at 0 K: -229 meV/atom. Its density of states at the Fermi level is 4.8 states/eV/f.u.

Structure (POSCAR):
```
TbSmHoHg
1.0
3.6293 0.0000 0.0000
0.0000 3.6293 0.0000
0.0000 0.0000 8.8986
Tb Sm Ho Hg
1 1 1 1
direct
0.0000 0.0000 0.0000
0.5000 0.5000 0.2814
0.0000 0.0000 0.5610
0.5000 0.5000 0.7766
```

---

KGeAs | PBE-GGA | optimized geometry

Computed properties:
The crystal system is orthorhombic. For the density, the calculation gives 3389 kg/m³. The space-group type is Cmmm. As for the calculated total energy: -3.599 eV per atom. As for the formation enthalpy at 0 K: -144 meV/atom. Its density of states at the Fermi level is 1.3 states/eV/f.u.

Structure (POSCAR):
```
KGeAs
1.0
5.3266 0.0000 0.0000
0.0000 13.0802 0.0000
0.0000 0.0000 5.2504
K Ge As
4 4 4
direct
0.0000 0.1566 0.0000
0.0000 0.8434 0.0000
0.5000 0.3434 0.0000
0.5000 0.6566 0.0000
0.2247 0.0000 0.5000
0.2753 0.5000 0.5000
0.7247 0.5000 0.5000
0.7753 0.0000 0.5000
0.0000 0.3460 0.5000
0.0000 0.6540 0.5000
0.5000 0.1540 0.5000
0.5000 0.8460 0.5000
```

---

La7BBr12 | PBE-GGA | optimized geometry

Computed properties:
The crystal system is trigonal. For the density, the calculation gives 4523 kg/m³. The space-group type is R-3. As for the calculated total energy: -4.730 eV per atom. The calculation puts the uncorrected formation energy at -161 kJ per mole of atoms. Its density of states at the Fermi level is 10.6 states/eV/f.u.

Structure (POSCAR):
```
La7BBr12
1.0
7.6870 4.4381 3.4834
-7.6870 4.4381 3.4834
0.0000 -8.8761 3.4834
La B Br
7 1 12
direct
0.0000 0.0000 0.0000
0.1860 0.4676 0.3899
0.3899 0.1860 0.4676
0.4676 0.3899 0.1860
0.5324 0.6101 0.8140
0.6101 0.8140 0.5324
0.8140 0.5324 0.6101
0.5000 0.5000 0.5000
0.0261 0.1121 0.3419
0.1121 0.3419 0.0261
0.1865 0.5760 0.7229
0.2771 0.8135 0.4240
0.3419 0.0261 0.1121
0.4240 0.2771 0.8135
0.5760 0.7229 0.1865
0.6581 0.9739 0.8879
0.7229 0.1865 0.5760
0.8135 0.4240 0.2771
0.8879 0.6581 0.9739
0.9739 0.8879 0.6581
```

---

PuZnPd2 | PBE-GGA | optimized geometry

Computed properties:
The crystal system is orthorhombic. For the density, the calculation gives 11525 kg/m³. The space-group type is Pnma. As for the calculated total energy: -6.979 eV per atom. As for the formation enthalpy at 0 K: -481 meV/atom. Its density of states at the Fermi level is 13.9 states/eV/f.u.

Structure (POSCAR):
```
PuZnPd2
1.0
7.3666 0.0000 0.0000
0.0000 7.0867 0.0000
0.0000 0.0000 5.7653
Pu Zn Pd
4 4 8
direct
0.0273 0.2500 0.1443
0.4727 0.7500 0.6443
0.5273 0.2500 0.3557
0.9727 0.7500 0.8557
0.1112 0.7500 0.3473
0.3888 0.2500 0.8473
0.6112 0.7500 0.1527
0.8888 0.2500 0.6527
0.1843 0.0488 0.5833
0.1843 0.4512 0.5833
0.3157 0.5488 0.0833
0.3157 0.9512 0.0833
0.6843 0.0488 0.9167
0.6843 0.4512 0.9167
0.8157 0.5488 0.4167
0.8157 0.9512 0.4167
```

---

ZnRe2Ru | PBE-GGA | optimized geometry

Computed properties:
The crystal system is orthorhombic. For the density, the calculation gives 15493 kg/m³. The space-group type is Pmm2. As for the calculated total energy: -8.723 eV per atom. As for the formation enthalpy at 0 K: 139 meV/atom. Its density of states at the Fermi level is 2.9 states/eV/f.u.

Structure (POSCAR):
```
ZnRe2Ru
1.0
2.7422 0.0000 0.0000
0.0000 4.3831 0.0000
0.0000 0.0000 4.8057
Zn Re Ru
1 2 1
direct
0.0000 0.0000 0.0000
0.5000 0.0000 0.5081
0.5000 0.5000 0.8073
0.0000 0.5000 0.3003
```

---

NaBiBr3 | PBE-GGA | optimized geometry

Computed properties:
The crystal system is cubic. For the density, the calculation gives 5202 kg/m³. The space-group type is Pm-3m. The value obtained for the energy above the most stable polymorph in this dataset is 0.527 eV per atom. As for the calculated total energy: -2.434 eV per atom. The calculation puts the uncorrected formation energy at -38 kJ per mole of atoms. Its density of states at the Fermi level is 2.8 states/eV/f.u.

Structure (POSCAR):
```
NaBiBr3
1.0
5.3199 0.0000 0.0000
0.0000 5.3199 0.0000
0.0000 0.0000 5.3199
Na Bi Br
1 1 3
direct
0.0000 0.0000 0.0000
0.5000 0.5000 0.5000
0.0000 0.0000 0.5000
0.0000 0.5000 0.0000
0.5000 0.0000 0.0000
```

---

ZrFeSi | PBE-GGA | optimized geometry

Computed properties:
The crystal system is orthorhombic. For the density, the calculation gives 6048 kg/m³. The space-group type is Pnma. As for the calculated total energy: -7.821 eV per atom. The calculation puts the uncorrected formation energy at -33 kJ per mole of atoms. Its density of states at the Fermi level is 1.7 states/eV/f.u.

Structure (POSCAR):
```
ZrFeSi
1.0
5.2607 0.0000 0.0000
0.0000 5.0432 0.0000
0.0000 0.0000 7.2506
Zr Fe Si
4 4 4
direct
0.2489 0.2500 0.0995
0.2511 0.7500 0.5995
0.7489 0.2500 0.4005
0.7511 0.7500 0.9005
0.0013 0.7500 0.2501
0.4987 0.2500 0.7501
0.5013 0.7500 0.2499
0.9987 0.2500 0.7499
0.2489 0.2500 0.4692
0.2511 0.7500 0.9692
0.7489 0.2500 0.0308
0.7511 0.7500 0.5308
```

---

Er9TlIn2 | PBE-GGA | optimized geometry

Computed properties:
The crystal system is tetragonal. For the density, the calculation gives 9653 kg/m³. The space-group type is P4/mmm. As for the calculated total energy: -4.306 eV per atom. As for the formation enthalpy at 0 K: -231 meV/atom. Its density of states at the Fermi level is 15.7 states/eV/f.u.

Structure (POSCAR):
```
Er9TlIn2
1.0
4.8082 0.0000 0.0000
0.0000 4.8082 0.0000
0.0000 0.0000 14.4297
Er Tl In
9 1 2
direct
0.0000 0.0000 0.0000
0.0000 0.0000 0.3336
0.0000 0.0000 0.6664
0.0000 0.5000 0.1680
0.0000 0.5000 0.5000
0.0000 0.5000 0.8320
0.5000 0.0000 0.1680
0.5000 0.0000 0.5000
0.5000 0.0000 0.8320
0.5000 0.5000 0.0000
0.5000 0.5000 0.3335
0.5000 0.5000 0.6665
```

---

Dy2Tm3ThSe6 | PBE-GGA | optimized geometry

Computed properties:
The crystal system is monoclinic. For the density, the calculation gives 8905 kg/m³. The space-group type is C2/m. As for the calculated total energy: -5.907 eV per atom. The calculation puts the uncorrected formation energy at -160 kJ per mole of atoms. Its density of states at the Fermi level is 6.7 states/eV/f.u.

Structure (POSCAR):
```
Dy2Tm3ThSe6
1.0
8.9355 -2.0197 0.0000
8.9355 2.0197 0.0000
-2.0638 0.0000 7.9435
Dy Tm Th Se
2 3 1 6
direct
0.1613 0.1613 0.3243
0.8387 0.8387 0.6757
0.1623 0.1623 0.8325
0.5000 0.5000 0.5000
0.8377 0.8377 0.1675
0.5000 0.5000 0.0000
0.0016 0.0016 0.7355
0.3263 0.3263 0.9189
0.3320 0.3320 0.4144
0.6680 0.6680 0.5856
0.6737 0.6737 0.0811
0.9984 0.9984 0.2645
```

---

ZrTlP2 | PBE-GGA | optimized geometry

Computed properties:
The crystal system is orthorhombic. For the density, the calculation gives 6871 kg/m³. The space-group type is Cmmm. The value obtained for the energy above the most stable polymorph in this dataset is 0.214 eV per atom. As for the calculated total energy: -5.731 eV per atom. As for the formation enthalpy at 0 K: -298 meV/atom. Its density of states at the Fermi level is 1.7 states/eV/f.u.

Structure (POSCAR):
```
ZrTlP2
1.0
4.0368 0.0000 0.0000
0.0000 5.0968 0.0000
0.0000 0.0000 8.3995
Zr Tl P
2 2 4
direct
0.0000 0.0000 0.0000
0.5000 0.5000 0.0000
0.0000 0.0000 0.5000
0.5000 0.5000 0.5000
0.0000 0.5000 0.2013
0.0000 0.5000 0.7987
0.5000 0.0000 0.2013
0.5000 0.0000 0.7987
```

---

AgSb2Cl8 | PBE-GGA | optimized geometry

Computed properties:
The crystal system is monoclinic. For the density, the calculation gives 2943 kg/m³. The space-group type is C2/m. The value obtained for the energy above the most stable polymorph in this dataset is 0.036 eV per atom. As for the calculated total energy: -3.015 eV per atom. The calculation puts the uncorrected formation energy at -64 kJ per mole of atoms. Its density of states at the Fermi level is 5.0 states/eV/f.u.

Structure (POSCAR):
```
AgSb2Cl8
1.0
5.8436 -4.5933 0.0000
5.8436 4.5933 0.0000
-0.9882 0.0000 6.6746
Ag Sb Cl
1 2 8
direct
0.0000 0.0000 0.0000
0.2661 0.2661 0.4665
0.7339 0.7339 0.5335
0.0450 0.6726 0.7094
0.1513 0.1513 0.7921
0.3274 0.9550 0.2906
0.4052 0.4052 0.2329
0.5948 0.5948 0.7671
0.6726 0.0450 0.7094
0.8487 0.8487 0.2079
0.9550 0.3274 0.2906
```

---

Zn2IrPbO8 | PBE-GGA | optimized geometry

Computed properties:
The crystal system is monoclinic. For the density, the calculation gives 7506 kg/m³. The space-group type is P2/m. As for the calculated total energy: -5.329 eV per atom. The calculation puts the uncorrected formation energy at -74 kJ per mole of atoms. Its density of states at the Fermi level is 3.3 states/eV/f.u.

Structure (POSCAR):
```
Zn2IrPbO8
1.0
4.7055 0.0000 0.0000
0.0000 6.5676 0.0000
-0.1768 0.0000 4.7119
Zn Ir Pb O
2 1 1 8
direct
0.0000 0.2473 0.0000
0.0000 0.7527 0.0000
0.5000 0.0000 0.5000
0.5000 0.5000 0.5000
0.1828 0.5000 0.1811
0.2147 0.0000 0.2129
0.3062 0.2144 0.6916
0.3062 0.7856 0.6916
0.6938 0.2144 0.3084
0.6938 0.7856 0.3084
0.7853 0.0000 0.7871
0.8172 0.5000 0.8189
```

---

Tl2Co3S4 | PBE-GGA | optimized geometry

Computed properties:
The crystal system is orthorhombic. For the density, the calculation gives 6190 kg/m³. The space-group type is Fmmm. As for the calculated total energy: -5.069 eV per atom. The calculation puts the uncorrected formation energy at -33 kJ per mole of atoms.

Structure (POSCAR):
```
Tl2Co3S4
1.0
0.0000 4.8973 6.8892
2.8378 0.0000 6.8892
2.8378 4.8973 0.0000
Tl Co S
2 3 4
direct
0.1475 0.1475 0.8525
0.8525 0.8525 0.1475
0.0000 0.0000 0.5000
0.5000 0.5000 0.0000
0.5000 0.5000 0.5000
0.2257 0.5592 0.4408
0.4408 0.7743 0.2257
0.5592 0.2257 0.7743
0.7743 0.4408 0.5592
```

---

InSi2Se | PBE-GGA | optimized geometry

Computed properties:
The crystal system is orthorhombic. For the density, the calculation gives 5247 kg/m³. The space-group type is Pmmm. As for the calculated total energy: -3.819 eV per atom. The calculation puts the uncorrected formation energy at 43 kJ per mole of atoms. Its density of states at the Fermi level is 1.2 states/eV/f.u.

Structure (POSCAR):
```
InSi2Se
1.0
3.2739 0.0000 0.0000
0.0000 4.7415 0.0000
0.0000 0.0000 5.0960
In Si Se
1 2 1
direct
0.0000 0.0000 0.0000
0.0000 0.5000 0.5000
0.5000 0.5000 0.0000
0.5000 0.0000 0.5000
```

---

TaSbMo2 | PBE-GGA | optimized geometry

Computed properties:
The crystal system is orthorhombic. For the density, the calculation gives 11498 kg/m³. The space-group type is Pmm2. As for the calculated total energy: -9.210 eV per atom. The calculation puts the uncorrected formation energy at 19 kJ per mole of atoms. Its density of states at the Fermi level is 2.7 states/eV/f.u.

Structure (POSCAR):
```
TaSbMo2
1.0
3.1224 0.0000 0.0000
0.0000 4.1743 0.0000
0.0000 0.0000 5.4800
Ta Sb Mo
1 1 2
direct
0.0000 0.0000 0.0000
0.5000 0.5000 0.7222
0.0000 0.0000 0.4676
0.5000 0.5000 0.2275
```

---

KCuNiC | PBE-GGA | optimized geometry

Computed properties:
The crystal system is triclinic. For the density, the calculation gives 3992 kg/m³. The space-group type is P1. The value obtained for the energy above the most stable polymorph in this dataset is 0.058 eV per atom. As for the calculated total energy: -4.605 eV per atom. As for the formation enthalpy at 0 K: 445 meV/atom. Its density of states at the Fermi level is 0.3 states/eV/f.u.

Structure (POSCAR):
```
KCuNiC
1.0
2.9530 0.0000 0.0000
1.4763 4.3420 0.0000
0.0286 2.0214 5.6237
K Cu Ni C
1 1 1 1
direct
0.0000 0.0000 0.0000
0.3601 0.2914 0.4721
0.6430 0.7235 0.5383
0.0189 0.9726 0.5052
```

---

Tm6P2HSe3 | PBE-GGA | optimized geometry

Computed properties:
The crystal system is monoclinic. For the density, the calculation gives 8471 kg/m³. The space-group type is C2/m. As for the calculated total energy: -5.717 eV per atom. Its density of states at the Fermi level is 5.8 states/eV/f.u.

Structure (POSCAR):
```
Tm6P2HSe3
1.0
8.5697 -1.9638 0.0000
8.5697 1.9638 0.0000
-2.1079 0.0000 7.6496
Tm P H Se
6 2 1 3
direct
0.0012 0.0012 0.2365
0.3277 0.3277 0.4301
0.3445 0.3445 0.9103
0.6555 0.6555 0.0897
0.6723 0.6723 0.5699
0.9988 0.9988 0.7635
0.1635 0.1635 0.3295
0.8365 0.8365 0.6705
0.5000 0.5000 0.0000
0.1714 0.1714 0.8339
0.5000 0.5000 0.5000
0.8286 0.8286 0.1661
```

---

NpMnOs | PBE-GGA | optimized geometry

Computed properties:
The crystal system is trigonal. For the density, the calculation gives 16460 kg/m³. The space-group type is P3m1. The value obtained for the energy above the most stable polymorph in this dataset is 0.048 eV per atom. As for the calculated total energy: -10.853 eV per atom. As for the formation enthalpy at 0 K: 260 meV/atom. Its density of states at the Fermi level is 4.3 states/eV/f.u.

Structure (POSCAR):
```
NpMnOs
1.0
4.5068 0.0000 0.0000
-2.2534 3.9030 0.0000
0.0000 0.0000 2.7654
Np Mn Os
1 1 1
direct
0.0000 0.0000 0.0000
0.6667 0.3333 0.2844
0.3333 0.6667 0.6966
```

---

AlRe2Mo | PBE-GGA | optimized geometry

Computed properties:
The crystal system is orthorhombic. For the density, the calculation gives 13630 kg/m³. The space-group type is Cmmm. As for the calculated total energy: -9.838 eV per atom. As for the formation enthalpy at 0 K: 30 meV/atom. Its density of states at the Fermi level is 3.2 states/eV/f.u.

Structure (POSCAR):
```
AlRe2Mo
1.0
3.0462 0.0000 0.0000
0.0000 4.5118 0.0000
0.0000 0.0000 8.7813
Al Re Mo
2 4 2
direct
0.0000 0.0000 0.0000
0.5000 0.5000 0.0000
0.0000 0.5000 0.2461
0.0000 0.5000 0.7539
0.5000 0.0000 0.2461
0.5000 0.0000 0.7539
0.0000 0.0000 0.5000
0.5000 0.5000 0.5000
```

---

HfCd2Br8 | PBE-GGA | optimized geometry

Computed properties:
The crystal system is monoclinic. For the density, the calculation gives 3999 kg/m³. The space-group type is C2/m. As for the calculated total energy: -3.311 eV per atom. The calculation puts the uncorrected formation energy at -99 kJ per mole of atoms. Its density of states at the Fermi level is 0.0 states/eV/f.u.

Structure (POSCAR):
```
HfCd2Br8
1.0
8.5960 -3.7757 0.0000
8.5960 3.7757 0.0000
-0.5556 0.0000 6.6696
Hf Cd Br
1 2 8
direct
0.0000 0.0000 0.0000
0.1554 0.1554 0.4452
0.8446 0.8446 0.5548
0.1361 0.1361 0.8410
0.1894 0.6994 0.7491
0.2955 0.2955 0.3687
0.3006 0.8106 0.2509
0.6994 0.1894 0.7491
0.7045 0.7045 0.6313
0.8106 0.3006 0.2509
0.8639 0.8639 0.1590
```